DFT (GGA+U) results for crystalline Ba3LaFe2O9 at its relaxed geometry.

Summary:
energy: -6.55 eV per atom
crystal system: trigonal

Cell: 5.8984 5.8984 7.3634 Å, 90.00 90.00 120.00°
Space group P-3m1 (No. 164)
One atom of each set of equivalent atoms:
1 Ba 0.0000 0.0000 0.0000 [1 per cell]
2 Ba 0.3333 0.6667 0.6923 [2 per cell]
3 La 0.0000 0.0000 0.5000 [1 per cell]
4 Fe 0.3333 0.6667 0.1595 [2 per cell]
5 O 0.0000 0.5000 0.0000 [3 per cell]
6 O 0.1790 0.3581 0.3080 [6 per cell]